Arrangement A

# HfTi3Pd (GGA-PBE, optimized geometry)
# magnetization: 0.0000 μB per atom
data_HfTi3Pd
_cell_length_a 4.7448
_cell_length_b 4.7448
_cell_length_c 4.7448
_cell_angle_alpha 90.00
_cell_angle_beta 90.00
_cell_angle_gamma 90.00
_symmetry_space_group_name_H-M 'P m -3 m'
_symmetry_Int_Tables_number 221
_symmetry_space_group_name_Hall '-P 4 2 3'
loop_
_atom_site_label
_atom_site_fract_x
_atom_site_fract_y
_atom_site_fract_z
_atom_site_occupancy
Hf1 0.0000 0.0000 0.0000 1
Ti1 0.0000 0.5000 0.5000 1
Pd1 0.5000 0.5000 0.5000 1



Arrangement B

# HfTi3Pd (GGA-PBE, optimized geometry)
# magnetization: 0.0989 μB per atom
data_HfTi3Pd
_cell_length_a 4.7724
_cell_length_b 4.7724
_cell_length_c 4.7724
_cell_angle_alpha 90.00
_cell_angle_beta 90.00
_cell_angle_gamma 90.00
_symmetry_space_group_name_H-M 'P m -3 m'
_symmetry_Int_Tables_number 221
_symmetry_space_group_name_Hall '-P 4 2 3'
loop_
_atom_site_label
_atom_site_fract_x
_atom_site_fract_y
_atom_site_fract_z
_atom_site_occupancy
Hf1 0.0000 0.0000 0.0000 1
Ti1 0.0000 0.0000 0.5000 1
Pd1 0.5000 0.5000 0.5000 1



Arrangement C

# HfTi3Pd (GGA-PBE, optimized geometry)
# magnetization: 0.2908 μB per atom
data_HfTi3Pd
_cell_length_a 5.5853
_cell_length_b 12.4569
_cell_length_c 5.2487
_cell_angle_alpha 90.00
_cell_angle_beta 90.00
_cell_angle_gamma 90.00
_symmetry_space_group_name_H-M 'C m c m'
_symmetry_Int_Tables_number 63
_symmetry_space_group_name_Hall '-C 2c 2'
loop_
_atom_site_label
_atom_site_fract_x
_atom_site_fract_y
_atom_site_fract_z
_atom_site_occupancy
Hf1 0.0000 0.0846 0.2500 1
Ti1 0.0000 0.3230 0.7500 1
Ti2 0.2454 0.3427 0.2500 1
Pd1 0.0000 0.5000 0.0000 1



If we sort the structures by their calculated energies, the order from most to least stable is arrangement C, arrangement A, arrangement B.



Arrangement A

# HfTi2Pd2 (GGA-PBE, optimized geometry)
# magnetization: 0.0000 μB per atom
data_HfTi2Pd2
_cell_length_a 3.0616
_cell_length_b 3.0616
_cell_length_c 18.0326
_cell_angle_alpha 90.00
_cell_angle_beta 90.00
_cell_angle_gamma 90.00
_symmetry_space_group_name_H-M 'I 4/m m m'
_symmetry_Int_Tables_number 139
_symmetry_space_group_name_Hall '-I 4 2'
loop_
_atom_site_label
_atom_site_fract_x
_atom_site_fract_y
_atom_site_fract_z
_atom_site_occupancy
Hf1 0.0000 0.0000 0.0000 1
Ti1 0.0000 0.0000 0.2010 1
Pd1 0.0000 0.0000 0.3902 1



Arrangement B

# HfTi2Pd2 (GGA-PBE, optimized geometry)
# magnetization: 0.0000 μB per atom
data_HfTi2Pd2
_cell_length_a 7.4960
_cell_length_b 7.4960
_cell_length_c 3.0950
_cell_angle_alpha 90.00
_cell_angle_beta 90.00
_cell_angle_gamma 90.00
_symmetry_space_group_name_H-M 'P 4/m b m'
_symmetry_Int_Tables_number 127
_symmetry_space_group_name_Hall '-P 4 2ab'
loop_
_atom_site_label
_atom_site_fract_x
_atom_site_fract_y
_atom_site_fract_z
_atom_site_occupancy
Hf1 0.0000 0.0000 0.0000 1
Ti1 0.1683 0.3317 0.5000 1
Pd1 0.1296 0.6296 0.0000 1



If we sort the structures by their calculated energies, the order from most to least stable is arrangement A, arrangement B.



Arrangement A

# Hf2Ti2Pd (GGA-PBE, optimized geometry)
# magnetization: 0.0000 μB per atom
data_Hf2Ti2Pd
_cell_length_a 9.0475
_cell_length_b 6.6509
_cell_length_c 6.5945
_cell_angle_alpha 90.00
_cell_angle_beta 102.60
_cell_angle_gamma 90.00
_symmetry_space_group_name_H-M 'C 1 2/c 1'
_symmetry_Int_Tables_number 15
loop_
_symmetry_equiv_pos_as_xyz
'x,y,z'
'-x,-y,-z'
'-x,y,-z+1/2'
'x,-y,z+1/2'
'x+1/2,y+1/2,z'
'-x+1/2,-y+1/2,-z'
'-x+1/2,y+1/2,-z+1/2'
'x+1/2,-y+1/2,z+1/2'
loop_
_atom_site_label
_atom_site_fract_x
_atom_site_fract_y
_atom_site_fract_z
_atom_site_occupancy
Hf1 0.2282 0.0662 0.3144 1
Ti1 0.0179 0.2063 0.9493 1
Pd1 0.0000 0.4240 0.2500 1



Arrangement B

# Hf2Ti2Pd (GGA-PBE, optimized geometry)
# magnetization: 0.0000 μB per atom
data_Hf2Ti2Pd
_cell_length_a 6.6345
_cell_length_b 6.6345
_cell_length_c 4.3890
_cell_angle_alpha 90.00
_cell_angle_beta 90.00
_cell_angle_gamma 90.00
_symmetry_space_group_name_H-M 'P 4/m b m'
_symmetry_Int_Tables_number 127
_symmetry_space_group_name_Hall '-P 4 2ab'
loop_
_atom_site_label
_atom_site_fract_x
_atom_site_fract_y
_atom_site_fract_z
_atom_site_occupancy
Hf1 0.1582 0.3418 0.0000 1
Ti1 0.1423 0.6423 0.5000 1
Pd1 0.0000 0.0000 0.5000 1



If we sort the structures by their calculated energies, the order from most to least stable is arrangement A, arrangement B.



Arrangement A

# TmHfPd (GGA-PBE, optimized geometry)
# magnetization: 0.0000 μB per atom
data_TmHfPd
_cell_length_a 4.5849
_cell_length_b 4.5849
_cell_length_c 24.3661
_cell_angle_alpha 90.00
_cell_angle_beta 90.00
_cell_angle_gamma 120.00
_symmetry_space_group_name_H-M 'R -3 m'
_symmetry_Int_Tables_number 166
_symmetry_space_group_name_Hall '-R 3 2"'
loop_
_atom_site_label
_atom_site_fract_x
_atom_site_fract_y
_atom_site_fract_z
_atom_site_occupancy
Tm1 0.0000 0.0000 0.1217 1
Hf1 0.0000 0.0000 0.3715 1
Pd1 0.0000 0.0000 0.2607 1



Arrangement B

# TmHfPd (GGA-PBE, optimized geometry)
# magnetization: 0.0001 μB per atom
data_TmHfPd
_cell_length_a 3.3960
_cell_length_b 3.3960
_cell_length_c 11.1991
_cell_angle_alpha 90.00
_cell_angle_beta 90.00
_cell_angle_gamma 90.00
_symmetry_space_group_name_H-M 'I 4 m m'
_symmetry_Int_Tables_number 107
_symmetry_space_group_name_Hall 'I 4 -2'
loop_
_atom_site_label
_atom_site_fract_x
_atom_site_fract_y
_atom_site_fract_z
_atom_site_occupancy
Tm1 0.0000 0.0000 0.0000 1
Hf1 0.0000 0.0000 0.3033 1
Pd1 0.0000 0.0000 0.6680 1



If we sort the structures by their calculated energies, the order from most to least stable is arrangement B, arrangement A.



Arrangement A

# TmHfPd2 (GGA-PBE, optimized geometry)
# magnetization: 0.0000 μB per atom
data_TmHfPd2
_cell_length_a 3.3890
_cell_length_b 3.3890
_cell_length_c 6.8892
_cell_angle_alpha 90.00
_cell_angle_beta 90.00
_cell_angle_gamma 90.00
_symmetry_space_group_name_H-M 'P 4/m m m'
_symmetry_Int_Tables_number 123
_symmetry_space_group_name_Hall '-P 4 2'
loop_
_atom_site_label
_atom_site_fract_x
_atom_site_fract_y
_atom_site_fract_z
_atom_site_occupancy
Tm1 0.0000 0.0000 0.0000 1
Hf1 0.0000 0.0000 0.5000 1
Pd1 0.5000 0.5000 0.2791 1



Arrangement B

# TmHfPd2 (GGA-PBE, optimized geometry)
# magnetization: 0.0000 μB per atom
data_TmHfPd2
_cell_length_a 6.7766
_cell_length_b 6.7766
_cell_length_c 6.7766
_cell_angle_alpha 90.00
_cell_angle_beta 90.00
_cell_angle_gamma 90.00
_symmetry_space_group_name_H-M 'F m -3 m'
_symmetry_Int_Tables_number 225
_symmetry_space_group_name_Hall '-F 4 2 3'
loop_
_atom_site_label
_atom_site_fract_x
_atom_site_fract_y
_atom_site_fract_z
_atom_site_occupancy
Tm1 0.0000 0.0000 0.0000 1
Hf1 0.0000 0.0000 0.5000 1
Pd1 0.2500 0.2500 0.2500 1



If we sort the structures by their calculated energies, the order from most to least stable is arrangement A, arrangement B.



Arrangement A

# HfVPd (GGA-PBE, optimized geometry)
# magnetization: 0.0000 μB per atom
data_HfVPd
_cell_length_a 5.3762
_cell_length_b 8.1465
_cell_length_c 18.9667
_cell_angle_alpha 90.00
_cell_angle_beta 90.00
_cell_angle_gamma 90.00
_symmetry_space_group_name_H-M 'F d d d'
_symmetry_Int_Tables_number 70
loop_
_symmetry_equiv_pos_as_xyz
'x,y,z'
'-x,-y,-z'
'-x+1/4,-y+1/4,z'
'x+1/4,y+1/4,-z'
'x,-y+1/4,-z+1/4'
'-x,y+1/4,z+1/4'
'-x+1/4,y,-z+1/4'
'x+1/4,-y,z+1/4'
'x,y+1/2,z+1/2'
'-x,-y+1/2,-z+1/2'
'-x+1/4,-y+3/4,z+1/2'
'x+1/4,y+3/4,-z+1/2'
'x,-y+3/4,-z+3/4'
'-x,y+3/4,z+3/4'
'-x+1/4,y+1/2,-z+3/4'
'x+1/4,-y+1/2,z+3/4'
'x+1/2,y,z+1/2'
'-x+1/2,-y,-z+1/2'
'-x+3/4,-y+1/4,z+1/2'
'x+3/4,y+1/4,-z+1/2'
'x+1/2,-y+1/4,-z+3/4'
'-x+1/2,y+1/4,z+3/4'
'-x+3/4,y,-z+3/4'
'x+3/4,-y,z+3/4'
'x+1/2,y+1/2,z'
'-x+1/2,-y+1/2,-z'
'-x+3/4,-y+3/4,z'
'x+3/4,y+3/4,-z'
'x+1/2,-y+3/4,-z+1/4'
'-x+1/2,y+3/4,z+1/4'
'-x+3/4,y+1/2,-z+1/4'
'x+3/4,-y+1/2,z+1/4'
loop_
_atom_site_label
_atom_site_fract_x
_atom_site_fract_y
_atom_site_fract_z
_atom_site_occupancy
Hf1 0.1250 0.3173 0.1250 1
V1 0.1250 0.1250 0.0022 1
Pd1 0.1250 0.1250 0.5491 1



Arrangement B

# HfVPd (GGA-PBE, optimized geometry)
# magnetization: 0.0000 μB per atom
data_HfVPd
_cell_length_a 3.0252
_cell_length_b 3.0252
_cell_length_c 11.1013
_cell_angle_alpha 90.00
_cell_angle_beta 90.00
_cell_angle_gamma 90.00
_symmetry_space_group_name_H-M 'I 4 m m'
_symmetry_Int_Tables_number 107
_symmetry_space_group_name_Hall 'I 4 -2'
loop_
_atom_site_label
_atom_site_fract_x
_atom_site_fract_y
_atom_site_fract_z
_atom_site_occupancy
Hf1 0.0000 0.0000 0.0000 1
V1 0.0000 0.0000 0.6714 1
Pd1 0.0000 0.0000 0.3097 1



If we sort the structures by their calculated energies, the order from most to least stable is arrangement B, arrangement A.